This record from the Alexandria database describes an optimized crystal structure of MgCrIn2. The functional is GGA-PBE.

abc: 4.2305 4.3886 4.3886
angles: 90.00 90.00 90.00
Last column: nearest neighbours and their distance in Å.
Fractional positions:
Mg  0.5000  0.5000  0.0000  8 In 3.05, 4 Cr 3.10
In  0.0000  0.5000  0.5000  4 Mg 3.05, 4 Cr 3.05, 4 In 3.10
In  0.0000  0.0000  0.0000  4 Cr 3.05, 4 Mg 3.05, 4 In 3.10
Cr  0.5000  0.0000  0.5000  8 In 3.05, 4 Mg 3.10

Computed properties:
formation enthalpy at 0 K	0.1571	eV/atom
calculated volume	81.48	Å³/cell
calculated total energy	-16.07	eV for the cell shown